[1]
MnNi2Os PBE relaxed; DOS at the Fermi energy = 4.316 states/eV per cell; calculated volume = 12.21 Å³ per atom; calculated density = 12.32 g cm⁻³; formation enthalpy at 0 K = 32 kJ/mol of formula units; space-group type = C2/m (12)
1.0
4.4661 -0.0161 0.0092
3.7054 2.4931 0.0092
0.7443 0.2256 4.3654
Os Ni Mn
1 2 1
Direct
0.7500 0.7500 0.7500 Os
0.0014 0.0014 0.9974 Ni
0.4986 0.4986 0.5026 Ni
0.2500 0.2500 0.2500 Mn

[2]
MnNiOs2 PBE relaxed; DOS at the Fermi energy = 5.160 states/eV per cell; calculated volume = 13.52 Å³ per atom; calculated density = 15.17 g cm⁻³; formation enthalpy at 0 K = 125 kJ/mol of formula units; space-group type = F-43m (216)
1.0
4.2444 0.0000 0.0000
2.1222 3.6757 0.0000
2.1222 1.2252 3.4655
Os Mn Ni
2 1 1
Direct
0.7500 0.7500 0.7500 Os
0.0000 0.0000 0.0000 Os
0.5000 0.5000 0.5000 Mn
0.2500 0.2500 0.2500 Ni

[3]
MnNiOs2 PBE relaxed; DOS at the Fermi energy = 4.419 states/eV per cell; calculated volume = 12.83 Å³ per atom; calculated density = 15.99 g cm⁻³; formation enthalpy at 0 K = 57 kJ/mol of formula units; space-group type = Cmmm (65)
1.0
4.5002 0.0082 0.0000
-1.3866 4.2812 0.0000
0.0000 0.0000 2.6617
Os Mn Ni
2 1 1
Direct
0.5000 0.5000 0.0000 Os
0.0000 0.0000 0.0000 Os
0.5000 0.0000 0.5000 Mn
0.0000 0.5000 0.5000 Ni

[4]
MnNi2Os PBE relaxed; DOS at the Fermi energy = 4.464 states/eV per cell; calculated volume = 12.17 Å³ per atom; calculated density = 12.37 g cm⁻³; formation enthalpy at 0 K = 38 kJ/mol of formula units; space-group type = Amm2 (38)
1.0
3.9891 0.0000 0.0000
0.0000 2.5356 0.0190
0.0000 1.2361 4.8206
Ni Os Mn
2 1 1
Direct
0.5000 0.0570 0.2593 Ni
0.0000 0.1907 0.9954 Ni
0.0000 0.4493 0.4750 Os
0.5000 0.8030 0.7703 Mn

[5]
MnNi2Os PBE relaxed; DOS at the Fermi energy = 5.295 states/eV per cell; calculated volume = 12.56 Å³ per atom; calculated density = 11.99 g cm⁻³; formation enthalpy at 0 K = 56 kJ/mol of formula units; space-group type = P4/mmm (123)
1.0
-0.9009 -1.7515 -1.7663
0.0601 -1.8934 1.8468
-6.7459 1.5973 1.8570
Os Ni Mn
1 2 1
Direct
0.5000 0.5000 0.2500 Os
0.0000 0.0000 0.9986 Ni
0.0000 0.0000 0.5014 Ni
0.5000 0.5000 0.7500 Mn

[6]
MnNiOs2 PBE relaxed; DOS at the Fermi energy = 8.591 states/eV per cell; calculated volume = 14.38 Å³ per atom; calculated density = 14.26 g cm⁻³; formation enthalpy at 0 K = 295 kJ/mol of formula units; space-group type = I-42d (122)
1.0
-5.0874 4.2664 -1.4236
-3.8753 -5.2489 -1.8819
-5.3203 -0.7108 0.6873
Os Mn Ni
4 2 2
Direct
0.8750 0.8264 0.7500 Os
0.5764 0.1250 0.2500 Os
0.1736 0.6250 0.2500 Os
0.3750 0.4236 0.7500 Os
0.2500 0.7500 0.5000 Mn
0.5000 0.5000 0.0000 Mn
0.0000 0.0000 0.0000 Ni
0.7500 0.2500 0.5000 Ni

[7]
MnNiOs2 PBE relaxed; DOS at the Fermi energy = 4.087 states/eV per cell; calculated volume = 12.98 Å³ per atom; calculated density = 15.80 g cm⁻³; formation enthalpy at 0 K = 22 kJ/mol of formula units; space-group type = I-4m2 (119)
1.0
4.5772 -0.0081 0.0000
1.5551 4.3049 0.0000
-3.0661 -2.1484 2.6332
Ni Os Mn
1 2 1
Direct
0.7500 0.2500 0.5000 Ni
0.0000 0.0000 0.0000 Os
0.2500 0.7500 0.5000 Os
0.5000 0.5000 0.0000 Mn

[8]
MnNiOs2 PBE relaxed; DOS at the Fermi energy = 4.186 states/eV per cell; calculated volume = 13.08 Å³ per atom; calculated density = 15.68 g cm⁻³; formation enthalpy at 0 K = 36 kJ/mol of formula units; space-group type = Cm (8)
1.0
-1.5940 -3.9096 1.8287
-0.0189 -4.5948 -0.2386
3.3414 -0.9488 2.8603
Os Ni Mn
2 1 1
Direct
0.9998 0.9998 0.9942 Os
0.7507 0.7507 0.7598 Os
0.2492 0.2492 0.2614 Ni
0.5003 0.5003 0.4845 Mn

[9]
Mn4NiOs PBE relaxed; DOS at the Fermi energy = 7.337 states/eV per cell; calculated volume = 11.64 Å³ per atom; calculated density = 11.15 g cm⁻³; formation enthalpy at 0 K = 72 kJ/mol of formula units; space-group type = F-43m (216)
1.0
-1.7025 0.4857 4.2693
-4.4351 -0.9879 0.8455
-1.1018 -3.7363 2.4874
Mn Os Ni
4 1 1
Direct
0.3765 0.3765 0.3765 Mn
0.3765 0.8705 0.3765 Mn
0.3765 0.3765 0.8705 Mn
0.8705 0.3765 0.3765 Mn
0.0000 0.0000 0.0000 Os
0.7500 0.7500 0.7500 Ni

[10]
MnNiOs2 PBE relaxed; DOS at the Fermi energy = 5.606 states/eV per cell; calculated volume = 12.75 Å³ per atom; calculated density = 16.08 g cm⁻³; formation enthalpy at 0 K = 56 kJ/mol of formula units; space-group type = P4/mmm (123)
1.0
-1.3973 -1.6034 -1.5617
1.8683 -1.8494 0.2272
-3.4231 -2.7368 5.8727
Mn Os Ni
1 2 1
Direct
0.5000 0.5000 0.2500 Mn
0.0000 0.0000 0.0041 Os
0.0000 0.0000 0.4959 Os
0.5000 0.5000 0.7500 Ni

[11]
Mn4NiOs PBE relaxed; DOS at the Fermi energy = 6.439 states/eV per cell; calculated volume = 11.43 Å³ per atom; calculated density = 11.34 g cm⁻³; formation enthalpy at 0 K = 26 kJ/mol of formula units; space-group type = P2/m (10)
1.0
2.5466 -0.0001 0.0000
0.0003 5.2662 3.4084
0.0001 2.1033 6.4769
Mn Os Ni
4 1 1
Direct
0.5013 0.0675 0.7844 Mn
0.0013 0.5588 0.2902 Mn
0.0013 0.4466 0.7135 Mn
0.5013 0.9379 0.2193 Mn
0.5013 0.5027 0.0019 Os
0.0013 0.0027 0.5019 Ni

[12]
MnNi2Os PBE relaxed; DOS at the Fermi energy = 4.356 states/eV per cell; calculated volume = 12.49 Å³ per atom; calculated density = 12.05 g cm⁻³; formation enthalpy at 0 K = 55 kJ/mol of formula units; space-group type = R-3m (166)
1.0
-6.5042 4.9409 -2.0704
-6.3575 3.5044 -4.2785
-7.7079 2.5969 -2.2016
Ni Os Mn
2 1 1
Direct
0.0018 0.0018 0.0018 Ni
0.4982 0.4982 0.4982 Ni
0.2500 0.2500 0.2500 Os
0.7500 0.7500 0.7500 Mn

[13]
MnNiOs2 PBE relaxed; DOS at the Fermi energy = 4.716 states/eV per cell; calculated volume = 13.37 Å³ per atom; calculated density = 15.34 g cm⁻³; formation enthalpy at 0 K = 69 kJ/mol of formula units; space-group type = R3m (160)
1.0
-6.9078 0.9407 -5.0820
-7.3828 -1.5578 -4.1829
-8.1657 0.5720 -2.7245
Mn Os Ni
1 2 1
Direct
0.4970 0.4970 0.4970 Mn
0.0015 0.0015 0.0015 Os
0.2491 0.2491 0.2491 Os
0.7525 0.7525 0.7525 Ni

[14]
MnNiOs2 PBE relaxed; DOS at the Fermi energy = 4.084 states/eV per cell; calculated volume = 13.31 Å³ per atom; calculated density = 15.41 g cm⁻³; formation enthalpy at 0 K = 52 kJ/mol of formula units; space-group type = P4mm (99)
1.0
-0.9319 -1.2809 -2.1994
1.2028 -2.2858 0.8215
-5.9958 -1.8540 3.6201
Os Ni Mn
2 1 1
Direct
0.5000 0.5000 0.2501 Os
0.0000 0.0000 0.9949 Os
0.5000 0.5000 0.7440 Ni
0.0000 0.0000 0.5110 Mn

[15]
MnNiOs4 PBE relaxed; DOS at the Fermi energy = 11.222 states/eV per cell; calculated volume = 15.65 Å³ per atom; calculated density = 15.47 g cm⁻³; formation enthalpy at 0 K = 441 kJ/mol of formula units; space-group type = F-43m (216)
1.0
-3.6667 -1.9422 2.9680
-4.8709 0.1974 -1.5039
-2.4143 -4.2724 -1.3940
Os Mn Ni
4 1 1
Direct
0.3748 0.8756 0.3748 Os
0.3748 0.3748 0.8756 Os
0.3748 0.3748 0.3748 Os
0.8756 0.3748 0.3748 Os
0.7500 0.7500 0.7500 Mn
0.0000 0.0000 0.0000 Ni

[16]
MnNiOs2 PBE relaxed; DOS at the Fermi energy = 4.538 states/eV per cell; calculated volume = 13.61 Å³ per atom; calculated density = 15.07 g cm⁻³; formation enthalpy at 0 K = 159 kJ/mol of formula units; space-group type = Cmm2 (35)
1.0
-2.1430 -1.3656 -0.7417
1.6029 -1.1800 1.7452
-4.5033 3.5259 6.5201
Mn Os Ni
1 2 1
Direct
0.0000 0.0000 0.5085 Mn
0.5000 0.5000 0.2598 Os
0.0000 0.0000 0.9913 Os
0.5000 0.5000 0.7404 Ni

[17]
MnNiOs2 PBE relaxed; DOS at the Fermi energy = 5.103 states/eV per cell; calculated volume = 12.86 Å³ per atom; calculated density = 15.95 g cm⁻³; formation enthalpy at 0 K = 51 kJ/mol of formula units; space-group type = I4/mmm (139)
1.0
4.5222 -0.0132 0.0000
1.4307 4.2899 0.0000
-2.9764 -2.1383 2.6492
Os Mn Ni
2 1 1
Direct
0.5000 0.5000 0.0000 Os
0.0000 0.0000 0.0000 Os
0.2500 0.7500 0.5000 Mn
0.7500 0.2500 0.5000 Ni

[18]
MnNi2Os PBE relaxed; DOS at the Fermi energy = 4.116 states/eV per cell; calculated volume = 12.09 Å³ per atom; calculated density = 12.45 g cm⁻³; formation enthalpy at 0 K = 21 kJ/mol of formula units; space-group type = Cm (8)
1.0
0.0081 -2.6731 -3.5398
-0.9044 -4.0524 -1.5608
-4.1831 0.7098 -1.4341
Ni Os Mn
2 1 1
Direct
0.7498 0.7498 0.7551 Ni
0.0002 0.0002 0.9952 Ni
0.4983 0.4983 0.5013 Os
0.2518 0.2518 0.2484 Mn

[19]
MnNi2Os PBE relaxed; DOS at the Fermi energy = 6.868 states/eV per cell; calculated volume = 12.02 Å³ per atom; calculated density = 12.52 g cm⁻³; formation enthalpy at 0 K = 32 kJ/mol of formula units; space-group type = P4/mmm (123)
1.0
-0.5982 -3.4986 0.5945
2.3791 0.0519 2.6997
-2.7166 0.8684 2.3773
Ni Mn Os
2 1 1
Direct
0.0000 0.0000 0.0000 Ni
0.5000 0.5000 0.0000 Ni
0.0000 0.5000 0.5000 Mn
0.5000 0.0000 0.5000 Os

[20]
MnNi2Os PBE relaxed; DOS at the Fermi energy = 4.109 states/eV per cell; calculated volume = 12.25 Å³ per atom; calculated density = 12.29 g cm⁻³; formation enthalpy at 0 K = 69 kJ/mol of formula units; space-group type = P4/mmm (123)
1.0
3.0508 0.0000 0.0000
0.0000 3.0508 0.0000
0.0000 0.0000 5.2651
Mn Os Ni
1 1 2
Direct
0.5000 0.5000 0.7500 Mn
0.5000 0.5000 0.2500 Os
0.0000 0.0000 0.9909 Ni
0.0000 0.0000 0.5091 Ni